DFT (GGA-PBE) results for a relaxed structure of GdYMgAg.

Results
* N(E_F): 4.82 states/eV/f.u.
* raw total energy: -6.409 eV/atom

The structure in CIF format:
```
data_GdYMgAg
_chemical_formula_sum 'Gd4 Y4 Mg4 Ag4'
_space_group_name_H-M_alt 'F -4 3 m'
_space_group_IT_number 216
_space_group_name_Hall 'F -4 2 3'
_cell_length_a 7.458
_cell_length_b 7.458
_cell_length_c 7.458
_cell_angle_alpha 90.00
_cell_angle_beta 90.00
_cell_angle_gamma 90.00
loop_
_atom_site_label
_atom_site_type_symbol
_atom_site_fract_x
_atom_site_fract_y
_atom_site_fract_z
Gd1 Gd 0.000 0.000 0.000
Y1 Y 0.000 0.000 0.500
Mg1 Mg 0.250 0.250 0.250
Ag1 Ag 0.250 0.250 0.750
```

***

DFT (GGA-PBE) results for a relaxed structure of GdMgZnAg.

Results
* N(E_F): 1.13 states/eV/f.u.
* raw total energy: -5.129 eV/atom

The structure in CIF format:
```
data_GdMgZnAg
_chemical_formula_sum 'Gd4 Mg4 Zn4 Ag4'
_space_group_name_H-M_alt 'F -4 3 m'
_space_group_IT_number 216
_space_group_name_Hall 'F -4 2 3'
_cell_length_a 6.884
_cell_length_b 6.884
_cell_length_c 6.884
_cell_angle_alpha 90.00
_cell_angle_beta 90.00
_cell_angle_gamma 90.00
loop_
_atom_site_label
_atom_site_type_symbol
_atom_site_fract_x
_atom_site_fract_y
_atom_site_fract_z
Gd1 Gd 0.000 0.000 0.000
Mg1 Mg 0.250 0.250 0.250
Zn1 Zn 0.250 0.250 0.750
Ag1 Ag 0.000 0.000 0.500
```

***

DFT (GGA-PBE) results for a relaxed structure of Gd2MnAg.

Results
* N(E_F): 5.11 states/eV/f.u.
* raw total energy: -10.076 eV/atom

The structure in CIF format:
```
data_Gd2MnAg
_chemical_formula_sum 'Gd2 Mn1 Ag1'
_space_group_name_H-M_alt 'P 4/m m m'
_space_group_IT_number 123
_space_group_name_Hall '-P 4 2'
_cell_length_a 5.184
_cell_length_b 5.184
_cell_length_c 3.535
_cell_angle_alpha 90.00
_cell_angle_beta 90.00
_cell_angle_gamma 90.00
loop_
_atom_site_label
_atom_site_type_symbol
_atom_site_fract_x
_atom_site_fract_y
_atom_site_fract_z
Gd1 Gd 0.000 0.500 0.000
Mn1 Mn 0.000 0.000 0.500
Ag1 Ag 0.500 0.500 0.500
```

***

DFT (GGA-PBE) results for a relaxed structure of NdGdMnAg.

Results
* N(E_F): 4.21 states/eV/f.u.
* raw total energy: -7.660 eV/atom

The structure in CIF format:
```
data_NdGdMnAg
_chemical_formula_sum 'Nd4 Gd4 Mn4 Ag4'
_space_group_name_H-M_alt 'F -4 3 m'
_space_group_IT_number 216
_space_group_name_Hall 'F -4 2 3'
_cell_length_a 7.363
_cell_length_b 7.363
_cell_length_c 7.363
_cell_angle_alpha 90.00
_cell_angle_beta 90.00
_cell_angle_gamma 90.00
loop_
_atom_site_label
_atom_site_type_symbol
_atom_site_fract_x
_atom_site_fract_y
_atom_site_fract_z
Nd1 Nd 0.000 0.000 0.000
Gd1 Gd 0.000 0.000 0.500
Mn1 Mn 0.250 0.250 0.750
Ag1 Ag 0.250 0.250 0.250
```

***

DFT (GGA-PBE) results for a relaxed structure of PmGdMnAg.

Results
* N(E_F): 4.44 states/eV/f.u.
* raw total energy: -7.703 eV/atom

The structure in CIF format:
```
data_PmGdMnAg
_chemical_formula_sum 'Pm4 Gd4 Mn4 Ag4'
_space_group_name_H-M_alt 'F -4 3 m'
_space_group_IT_number 216
_space_group_name_Hall 'F -4 2 3'
_cell_length_a 7.315
_cell_length_b 7.315
_cell_length_c 7.315
_cell_angle_alpha 90.00
_cell_angle_beta 90.00
_cell_angle_gamma 90.00
loop_
_atom_site_label
_atom_site_type_symbol
_atom_site_fract_x
_atom_site_fract_y
_atom_site_fract_z
Pm1 Pm 0.000 0.000 0.000
Gd1 Gd 0.000 0.000 0.500
Mn1 Mn 0.250 0.250 0.250
Ag1 Ag 0.250 0.250 0.750
```

***

DFT (GGA-PBE) results for a relaxed structure of PrGdMnAg.

Results
* N(E_F): 4.10 states/eV/f.u.
* raw total energy: -7.701 eV/atom

The structure in CIF format:
```
data_PrGdMnAg
_chemical_formula_sum 'Pr4 Gd4 Mn4 Ag4'
_space_group_name_H-M_alt 'F -4 3 m'
_space_group_IT_number 216
_space_group_name_Hall 'F -4 2 3'
_cell_length_a 7.359
_cell_length_b 7.359
_cell_length_c 7.359
_cell_angle_alpha 90.00
_cell_angle_beta 90.00
_cell_angle_gamma 90.00
loop_
_atom_site_label
_atom_site_type_symbol
_atom_site_fract_x
_atom_site_fract_y
_atom_site_fract_z
Pr1 Pr 0.000 0.000 0.000
Gd1 Gd 0.000 0.000 0.500
Mn1 Mn 0.250 0.250 0.750
Ag1 Ag 0.250 0.250 0.250
```

***

DFT (GGA-PBE) results for a relaxed structure of GdScMnAg.

Results
* N(E_F): 5.78 states/eV/f.u.
* raw total energy: -8.094 eV/atom

The structure in CIF format:
```
data_GdScMnAg
_chemical_formula_sum 'Gd4 Sc4 Mn4 Ag4'
_space_group_name_H-M_alt 'F -4 3 m'
_space_group_IT_number 216
_space_group_name_Hall 'F -4 2 3'
_cell_length_a 7.012
_cell_length_b 7.012
_cell_length_c 7.012
_cell_angle_alpha 90.00
_cell_angle_beta 90.00
_cell_angle_gamma 90.00
loop_
_atom_site_label
_atom_site_type_symbol
_atom_site_fract_x
_atom_site_fract_y
_atom_site_fract_z
Gd1 Gd 0.000 0.000 0.000
Sc1 Sc 0.000 0.000 0.500
Mn1 Mn 0.250 0.250 0.250
Ag1 Ag 0.250 0.250 0.750
```

***

DFT (GGA-PBE) results for a relaxed structure of GdThMnAg.

Results
* N(E_F): 5.54 states/eV/f.u.
* raw total energy: -8.324 eV/atom

The structure in CIF format:
```
data_GdThMnAg
_chemical_formula_sum 'Gd4 Th4 Mn4 Ag4'
_space_group_name_H-M_alt 'F -4 3 m'
_space_group_IT_number 216
_space_group_name_Hall 'F -4 2 3'
_cell_length_a 7.280
_cell_length_b 7.280
_cell_length_c 7.280
_cell_angle_alpha 90.00
_cell_angle_beta 90.00
_cell_angle_gamma 90.00
loop_
_atom_site_label
_atom_site_type_symbol
_atom_site_fract_x
_atom_site_fract_y
_atom_site_fract_z
Gd1 Gd 0.000 0.000 0.000
Th1 Th 0.000 0.000 0.500
Mn1 Mn 0.250 0.250 0.250
Ag1 Ag 0.250 0.250 0.750
```